First-principles (PBE-GGA) data for a geometry-optimized Er4In3 structure, as listed in Alexandria.

a = 5.109 Å, b = 5.109 Å, c = 9.930 Å
α = 75.09°, β = 75.09°, γ = 60.00°
Positions (direct):
1 Er 0.878 0.878 0.366
2 Er 0.294 0.294 0.117
3 Er 0.706 0.706 0.883
4 Er 0.122 0.122 0.634
5 In 0.500 0.500 0.500
6 In 0.401 0.401 0.797
7 In 0.599 0.599 0.203

Results
symmetry	R-3m, No. 166
V	214	Å³ per cell
crystal system	trigonal
DFT formation energy	-109	meV/atom
mass density	7.9	Mg/m³
DOS at the Fermi energy	6.579	states/eV/cell